1.
PBE Co4W5, relaxed; energy of formation = 0.209 eV/atom; energy relative to the lowest polymorph listed for this composition = 0 meV per atom
1.0
-4.021 4.021 1.925
4.021 -4.021 1.925
4.021 4.021 -1.925
Co W
4 5
Direct
0.000 0.351 0.351 Co
0.000 0.649 0.649 Co
0.351 0.000 0.351 Co
0.649 0.000 0.649 Co
0.000 0.000 0.000 W
0.327 0.327 0.654 W
0.327 0.673 0.000 W
0.673 0.327 0.000 W
0.673 0.673 0.346 W

2.
PBE Pm6ErTm2Sc, relaxed; energy of formation = 0.128 eV/atom
1.0
4.602 -7.574 0.000
4.602 7.574 0.000
-1.062 0.000 9.301
Pm Er Tm Sc
12 2 4 2
Direct
0.006 0.442 0.806 Pm
0.120 0.768 0.552 Pm
0.232 0.880 0.948 Pm
0.291 0.513 0.387 Pm
0.442 0.006 0.306 Pm
0.487 0.709 0.113 Pm
0.513 0.291 0.887 Pm
0.558 0.994 0.694 Pm
0.709 0.487 0.613 Pm
0.768 0.120 0.052 Pm
0.880 0.232 0.448 Pm
0.994 0.558 0.194 Pm
0.027 0.973 0.250 Er
0.973 0.027 0.750 Er
0.205 0.303 0.049 Tm
0.303 0.205 0.549 Tm
0.697 0.795 0.451 Tm
0.795 0.697 0.951 Tm
0.420 0.580 0.750 Sc
0.580 0.420 0.250 Sc

3.
PBE CrGaS2, relaxed; formation energy without anion corrections = -0.346 eV/atom
1.0
-2.811 2.811 5.426
2.811 -2.811 5.426
2.811 2.811 -5.426
Cr Ga S
2 2 4
Direct
0.000 0.000 0.000 Cr
0.750 0.250 0.500 Cr
0.250 0.750 0.500 Ga
0.500 0.500 0.000 Ga
0.138 0.625 0.013 S
0.375 0.388 0.513 S
0.612 0.125 0.987 S
0.875 0.862 0.487 S

4.
PBE Na4Tl5, relaxed; energy of formation = -0.107 eV/atom; energy relative to the lowest polymorph listed for this composition = 0 meV per atom
1.0
-2.215 5.387 5.411
2.215 -5.387 5.411
2.215 5.387 -5.411
Na Tl
4 5
Direct
0.000 0.166 0.834 Na
0.000 0.834 0.166 Na
0.332 0.166 0.166 Na
0.668 0.834 0.834 Na
0.000 0.500 0.500 Tl
0.337 0.500 0.837 Tl
0.337 0.837 0.500 Tl
0.663 0.163 0.500 Tl
0.663 0.500 0.163 Tl